Compound: Ac2CrHgO5
Source: the Alexandria database
Functional: GGA+U
Structure: optimized geometry

a = 7.323 Å, b = 7.323 Å, c = 5.756 Å
α = 90.00°, β = 90.00°, γ = 90.00°
Space group P4/mbm (No. 127)
One atom of each set of equivalent atoms:
Ac 0.182 0.318 0.000 (multiplicity 4)
Cr 0.000 0.500 0.500 (multiplicity 2)
Hg 0.000 0.000 0.500 (multiplicity 2)
O 0.000 0.000 0.000 (multiplicity 2)
O 0.125 0.625 0.256 (multiplicity 8)

Results
spin magnetization	2.653	μB/f.u.
energy	-0.2462	Ha/atom
volume	17.146	A^3/atom